Entry a
The following is a DFT calculation (PBE-GGA) of a geometry-optimized Hf3PdRh structure.

Unit cell a=4.922 b=4.922 c=4.922 alpha=90.00 beta=90.00 gamma=90.00
Fractional coordinates of all 5 atoms:
Hf  0.000  0.000  0.500
Hf  0.000  0.500  0.000
Hf  0.500  0.000  0.000
Pd  0.500  0.500  0.500
Rh  0.000  0.000  0.000

Computed properties:
- Crystal system: cubic
- V: 119.3 Å³/f.u.
- D(E_F): 7.190 states/eV per cell

---

Entry b
The following is a DFT calculation (PBE-GGA) of a geometry-optimized Hf3PdRh structure.

Unit cell a=6.236 b=6.236 c=8.434 alpha=116.65 beta=116.65 gamma=42.77
Fractional coordinates of all 10 atoms:
Hf  0.046  0.046  0.206
Hf  0.253  0.253  0.817
Hf  0.339  0.339  0.506
Hf  0.661  0.661  0.494
Hf  0.747  0.747  0.183
Hf  0.954  0.954  0.794
Pd  0.391  0.391  0.222
Pd  0.609  0.609  0.778
Rh  0.000  0.000  0.500
Rh  0.500  0.500  0.000

Computed properties:
- Crystal system: monoclinic
- V: 97.6 Å³/f.u.
- D(E_F): 8.369 states/eV per cell

---

The most stable of them is entry b.

---

Entry a
The following is a DFT calculation (PBE-GGA) of a geometry-optimized HfSi2PdRh structure.

Unit cell a=4.975 b=4.975 c=4.693 alpha=90.00 beta=90.00 gamma=90.00
Fractional coordinates of all 5 atoms:
Hf  0.000  0.000  0.000
Si  0.000  0.500  0.000
Si  0.500  0.000  0.000
Pd  0.500  0.500  0.500
Rh  0.000  0.000  0.500

Computed properties:
- Crystal system: tetragonal
- V: 116.2 Å³/f.u.
- D(E_F): 3.043 states/eV per cell

---

Entry b
The following is a DFT calculation (PBE-GGA) of a geometry-optimized HfSi2PdRh structure.

Unit cell a=4.462 b=4.462 c=5.063 alpha=90.00 beta=90.00 gamma=90.00
Fractional coordinates of all 5 atoms:
Hf  0.000  0.000  0.000
Si  0.000  0.500  0.500
Si  0.500  0.000  0.500
Pd  0.500  0.500  0.000
Rh  0.000  0.000  0.500

Computed properties:
- Crystal system: tetragonal
- V: 100.8 Å³/f.u.
- D(E_F): 5.503 states/eV per cell

---

The most stable of them is entry b.

---

Entry a
The following is a DFT calculation (PBE-GGA) of a geometry-optimized HfPdS2 structure.

Unit cell a=3.590 b=3.590 c=22.654 alpha=90.00 beta=90.00 gamma=120.00
Fractional coordinates of all 12 atoms:
Hf  0.000  0.000  0.000
Hf  0.333  0.667  0.667
Hf  0.667  0.333  0.333
Pd  0.000  0.000  0.500
Pd  0.333  0.667  0.167
Pd  0.667  0.333  0.833
S  0.000  0.000  0.399
S  0.000  0.000  0.601
S  0.333  0.667  0.065
S  0.333  0.667  0.268
S  0.667  0.333  0.732
S  0.667  0.333  0.935

Computed properties:
- Crystal system: trigonal
- V: 84.3 Å³/f.u.
- D(E_F): 0.282 states/eV per cell

---

Entry b
The following is a DFT calculation (PBE-GGA) of a geometry-optimized HfPdS2 structure.

Unit cell a=5.504 b=5.504 c=11.632 alpha=90.00 beta=90.00 gamma=90.00
Fractional coordinates of all 16 atoms:
Hf  0.000  0.000  0.000
Hf  0.000  0.500  0.250
Hf  0.500  0.000  0.750
Hf  0.500  0.500  0.500
Pd  0.000  0.000  0.500
Pd  0.000  0.500  0.750
Pd  0.500  0.000  0.250
Pd  0.500  0.500  0.000
S  0.248  0.250  0.125
S  0.250  0.748  0.375
S  0.250  0.752  0.875
S  0.252  0.250  0.625
S  0.748  0.750  0.625
S  0.750  0.248  0.875
S  0.750  0.252  0.375
S  0.752  0.750  0.125

Computed properties:
- Crystal system: tetragonal
- V: 88.1 Å³/f.u.
- D(E_F): 0.074 states/eV per cell

---

The most stable of them is entry a.

---

Entry a
The following is a DFT calculation (PBE-GGA) of a geometry-optimized HfSbTe2Pd structure.

Unit cell a=5.246 b=5.246 c=5.084 alpha=90.00 beta=90.00 gamma=90.00
Fractional coordinates of all 5 atoms:
Hf  0.000  0.000  0.000
Sb  0.500  0.500  0.000
Te  0.000  0.500  0.500
Te  0.500  0.000  0.500
Pd  0.500  0.500  0.500

Computed properties:
- Crystal system: tetragonal
- V: 139.9 Å³/f.u.
- D(E_F): 3.823 states/eV per cell

---

Entry b
The following is a DFT calculation (PBE-GGA) of a geometry-optimized HfSbTe2Pd structure.

Unit cell a=5.486 b=5.486 c=5.515 alpha=90.00 beta=90.00 gamma=90.00
Fractional coordinates of all 5 atoms:
Hf  0.000  0.000  0.000
Sb  0.000  0.000  0.500
Te  0.000  0.500  0.000
Te  0.500  0.000  0.000
Pd  0.500  0.500  0.500

Computed properties:
- Crystal system: tetragonal
- V: 166.0 Å³/f.u.
- D(E_F): 5.133 states/eV per cell

---

The most stable of them is entry b.

---

Entry a
The following is a DFT calculation (PBE-GGA) of a geometry-optimized Hf3ScPd structure.

Unit cell a=5.038 b=5.038 c=5.038 alpha=90.00 beta=90.00 gamma=90.00
Fractional coordinates of all 5 atoms:
Hf  0.000  0.000  0.500
Hf  0.000  0.500  0.000
Hf  0.500  0.000  0.000
Sc  0.500  0.500  0.500
Pd  0.000  0.000  0.000

Computed properties:
- Crystal system: cubic
- V: 127.9 Å³/f.u.
- D(E_F): 11.382 states/eV per cell

---

Entry b
The following is a DFT calculation (PBE-GGA) of a geometry-optimized Hf3ScPd structure.

Unit cell a=4.918 b=4.918 c=4.918 alpha=90.00 beta=90.00 gamma=90.00
Fractional coordinates of all 5 atoms:
Hf  0.000  0.000  0.500
Hf  0.000  0.500  0.000
Hf  0.500  0.000  0.000
Sc  0.000  0.000  0.000
Pd  0.500  0.500  0.500

Computed properties:
- Crystal system: cubic
- V: 118.9 Å³/f.u.
- D(E_F): 7.800 states/eV per cell

---

The most stable of them is entry a.

---

Entry a
The following is a DFT calculation (PBE-GGA) of a geometry-optimized Hf2ScPd4 structure.

Unit cell a=4.754 b=4.754 c=13.464 alpha=90.00 beta=90.00 gamma=90.00
Fractional coordinates of all 14 atoms:
Hf  0.000  0.000  0.121
Hf  0.000  0.000  0.879
Hf  0.500  0.500  0.379
Hf  0.500  0.500  0.621
Sc  0.000  0.000  0.500
Sc  0.500  0.500  0.000
Pd  0.000  0.000  0.307
Pd  0.000  0.000  0.693
Pd  0.000  0.500  0.000
Pd  0.000  0.500  0.500
Pd  0.500  0.000  0.000
Pd  0.500  0.000  0.500
Pd  0.500  0.500  0.193
Pd  0.500  0.500  0.807

Computed properties:
- Crystal system: tetragonal
- V: 152.2 Å³/f.u.
- D(E_F): 9.372 states/eV per cell

---

Entry b
The following is a DFT calculation (PBE-GGA) of a geometry-optimized Hf2ScPd4 structure.

Unit cell a=5.680 b=7.046 c=7.444 alpha=112.52 beta=103.43 gamma=103.77
Fractional coordinates of all 14 atoms:
Hf  0.000  0.000  0.000
Hf  0.074  0.471  0.834
Hf  0.576  0.479  0.838
Hf  0.778  0.823  0.323
Sc  0.258  0.661  0.521
Sc  0.630  0.234  0.364
Pd  0.154  0.233  0.430
Pd  0.192  0.064  0.714
Pd  0.232  0.814  0.228
Pd  0.382  0.424  0.160
Pd  0.492  0.900  0.957
Pd  0.672  0.065  0.677
Pd  0.788  0.663  0.610
Pd  0.863  0.386  0.133

Computed properties:
- Crystal system: triclinic
- V: 124.7 Å³/f.u.
- D(E_F): 9.632 states/eV per cell

---

The most stable of them is entry b.

---

Entry a
The following is a DFT calculation (PBE-GGA) of a geometry-optimized HfScPd structure.

Unit cell a=4.598 b=4.598 c=3.253 alpha=90.00 beta=90.00 gamma=120.00
Fractional coordinates of all 3 atoms:
Hf  0.000  0.000  0.000
Sc  0.333  0.667  0.444
Pd  0.667  0.333  0.743

Computed properties:
- Crystal system: trigonal
- V: 59.6 Å³/f.u.
- D(E_F): 2.186 states/eV per cell

---

Entry b
The following is a DFT calculation (PBE-GGA) of a geometry-optimized HfScPd structure.

Unit cell a=4.714 b=10.586 c=4.727 alpha=90.00 beta=90.00 gamma=90.00
Fractional coordinates of all 12 atoms:
Hf  0.000  0.156  0.000
Hf  0.000  0.844  0.000
Hf  0.500  0.344  0.000
Hf  0.500  0.656  0.000
Sc  0.000  0.345  0.500
Sc  0.000  0.655  0.500
Sc  0.500  0.155  0.500
Sc  0.500  0.845  0.500
Pd  0.000  0.000  0.500
Pd  0.000  0.500  0.000
Pd  0.500  0.000  0.000
Pd  0.500  0.500  0.500

Computed properties:
- Crystal system: orthorhombic
- V: 59.0 Å³/f.u.
- D(E_F): 14.720 states/eV per cell

---

The most stable of them is entry b.

---

Entry a
The following is a DFT calculation (PBE-GGA) of a geometry-optimized HfSc2Pd structure.

Unit cell a=3.241 b=3.241 c=27.733 alpha=90.00 beta=90.00 gamma=120.00
Fractional coordinates of all 12 atoms:
Hf  0.000  0.000  0.000
Hf  0.333  0.667  0.667
Hf  0.667  0.333  0.333
Sc  0.000  0.000  0.243
Sc  0.000  0.000  0.425
Sc  0.333  0.667  0.092
Sc  0.333  0.667  0.909
Sc  0.667  0.333  0.576
Sc  0.667  0.333  0.759
Pd  0.000  0.000  0.834
Pd  0.333  0.667  0.501
Pd  0.667  0.333  0.168

Computed properties:
- Crystal system: trigonal
- V: 84.1 Å³/f.u.
- D(E_F): 13.736 states/eV per cell

---

Entry b
The following is a DFT calculation (PBE-GGA) of a geometry-optimized HfSc2Pd structure.

Unit cell a=3.147 b=3.147 c=30.147 alpha=90.00 beta=90.00 gamma=120.00
Fractional coordinates of all 12 atoms:
Hf  0.000  0.000  0.000
Hf  0.333  0.667  0.667
Hf  0.667  0.333  0.333
Sc  0.000  0.000  0.417
Sc  0.000  0.000  0.583
Sc  0.333  0.667  0.084
Sc  0.333  0.667  0.250
Sc  0.667  0.333  0.750
Sc  0.667  0.333  0.916
Pd  0.000  0.000  0.500
Pd  0.333  0.667  0.167
Pd  0.667  0.333  0.833

Computed properties:
- Crystal system: trigonal
- V: 86.2 Å³/f.u.
- D(E_F): 19.326 states/eV per cell

---

The most stable of them is entry a.

---

Entry a
The following is a DFT calculation (PBE-GGA) of a geometry-optimized HfSc2Pd structure.

Unit cell a=3.300 b=3.300 c=7.529 alpha=90.00 beta=90.00 gamma=90.00
Fractional coordinates of all 4 atoms:
Hf  0.000  0.000  0.000
Sc  0.500  0.500  0.281
Sc  0.500  0.500  0.719
Pd  0.000  0.000  0.500

Computed properties:
- Crystal system: tetragonal
- V: 82.0 Å³/f.u.
- D(E_F): 4.866 states/eV per cell

---

Entry b
The following is a DFT calculation (PBE-GGA) of a geometry-optimized HfSc2Pd structure.

Unit cell a=6.878 b=6.878 c=6.878 alpha=90.00 beta=90.00 gamma=90.00
Fractional coordinates of all 16 atoms:
Hf  0.000  0.000  0.000
Hf  0.000  0.500  0.500
Hf  0.500  0.000  0.500
Hf  0.500  0.500  0.000
Sc  0.250  0.250  0.250
Sc  0.250  0.250  0.750
Sc  0.250  0.750  0.250
Sc  0.250  0.750  0.750
Sc  0.750  0.250  0.250
Sc  0.750  0.250  0.750
Sc  0.750  0.750  0.250
Sc  0.750  0.750  0.750
Pd  0.000  0.000  0.500
Pd  0.000  0.500  0.000
Pd  0.500  0.000  0.000
Pd  0.500  0.500  0.500

Computed properties:
- Crystal system: cubic
- V: 81.4 Å³/f.u.
- D(E_F): 21.944 states/eV per cell

---

The most stable of them is entry a.

---

Entry a
The following is a DFT calculation (PBE-GGA) of a geometry-optimized HfSc3Pd structure.

Unit cell a=5.017 b=5.017 c=5.017 alpha=90.00 beta=90.00 gamma=90.00
Fractional coordinates of all 5 atoms:
Hf  0.000  0.000  0.000
Sc  0.000  0.500  0.500
Sc  0.500  0.000  0.500
Sc  0.500  0.500  0.000
Pd  0.500  0.500  0.500

Computed properties:
- Crystal system: cubic
- V: 126.3 Å³/f.u.
- D(E_F): 7.731 states/eV per cell

---

Entry b
The following is a DFT calculation (PBE-GGA) of a geometry-optimized HfSc3Pd structure.

Unit cell a=5.066 b=5.066 c=5.066 alpha=90.00 beta=90.00 gamma=90.00
Fractional coordinates of all 5 atoms:
Hf  0.000  0.000  0.000
Sc  0.000  0.000  0.500
Sc  0.000  0.500  0.000
Sc  0.500  0.000  0.000
Pd  0.500  0.500  0.500

Computed properties:
- Crystal system: cubic
- V: 130.0 Å³/f.u.
- D(E_F): 5.080 states/eV per cell

---

The most stable of them is entry a.

---

Entry a
The following is a DFT calculation (PBE-GGA) of a geometry-optimized Hf3ScPd4 structure.

Unit cell a=3.415 b=4.631 c=9.275 alpha=90.00 beta=90.00 gamma=90.00
Fractional coordinates of all 8 atoms:
Hf  0.000  0.000  0.000
Hf  0.000  0.500  0.252
Hf  0.000  0.500  0.748
Sc  0.000  0.000  0.500
Pd  0.500  0.000  0.243
Pd  0.500  0.000  0.757
Pd  0.500  0.500  0.000
Pd  0.500  0.500  0.500

Computed properties:
- Crystal system: orthorhombic
- V: 146.7 Å³/f.u.
- D(E_F): 5.721 states/eV per cell

---

Entry b
The following is a DFT calculation (PBE-GGA) of a geometry-optimized Hf3ScPd4 structure.

Unit cell a=5.145 b=9.230 c=7.118 alpha=90.00 beta=90.00 gamma=90.00
Fractional coordinates of all 16 atoms:
Hf  0.000  0.000  0.000
Hf  0.000  0.262  0.705
Hf  0.000  0.738  0.705
Hf  0.500  0.238  0.205
Hf  0.500  0.500  0.500
Hf  0.500  0.762  0.205
Sc  0.000  0.500  0.156
Sc  0.500  0.000  0.656
Pd  0.000  0.269  0.344
Pd  0.000  0.731  0.344
Pd  0.246  0.000  0.333
Pd  0.254  0.500  0.833
Pd  0.500  0.231  0.844
Pd  0.500  0.769  0.844
Pd  0.746  0.500  0.833
Pd  0.754  0.000  0.333

Computed properties:
- Crystal system: orthorhombic
- V: 169.0 Å³/f.u.
- D(E_F): 13.789 states/eV per cell

---

The most stable of them is entry a.

---

Entry a
The following is a DFT calculation (PBE-GGA) of a geometry-optimized HfPd3Se structure.

Unit cell a=4.896 b=4.896 c=4.896 alpha=90.00 beta=90.00 gamma=90.00
Fractional coordinates of all 5 atoms:
Hf  0.000  0.000  0.000
Pd  0.000  0.000  0.500
Pd  0.000  0.500  0.000
Pd  0.500  0.000  0.000
Se  0.500  0.500  0.500

Computed properties:
- Crystal system: cubic
- V: 117.3 Å³/f.u.
- D(E_F): 1.605 states/eV per cell

---

Entry b
The following is a DFT calculation (PBE-GGA) of a geometry-optimized HfPd3Se structure.

Unit cell a=4.648 b=4.648 c=4.648 alpha=90.00 beta=90.00 gamma=90.00
Fractional coordinates of all 5 atoms:
Hf  0.000  0.000  0.000
Pd  0.000  0.500  0.500
Pd  0.500  0.000  0.500
Pd  0.500  0.500  0.000
Se  0.500  0.500  0.500

Computed properties:
- Crystal system: cubic
- V: 100.4 Å³/f.u.
- D(E_F): 5.234 states/eV per cell

---

The most stable of them is entry b.

---

Entry a
The following is a DFT calculation (PBE-GGA) of a geometry-optimized HfPdSe2 structure.

Unit cell a=6.646 b=6.646 c=6.646 alpha=90.00 beta=90.00 gamma=90.00
Fractional coordinates of all 16 atoms:
Hf  0.000  0.000  0.000
Hf  0.000  0.500  0.500
Hf  0.500  0.000  0.500
Hf  0.500  0.500  0.000
Pd  0.000  0.000  0.500
Pd  0.000  0.500  0.000
Pd  0.500  0.000  0.000
Pd  0.500  0.500  0.500
Se  0.250  0.250  0.250
Se  0.250  0.250  0.750
Se  0.250  0.750  0.250
Se  0.250  0.750  0.750
Se  0.750  0.250  0.250
Se  0.750  0.250  0.750
Se  0.750  0.750  0.250
Se  0.750  0.750  0.750

Computed properties:
- Crystal system: cubic
- V: 73.4 Å³/f.u.
- D(E_F): 2.955 states/eV per cell

---

Entry b
The following is a DFT calculation (PBE-GGA) of a geometry-optimized HfPdSe2 structure.

Unit cell a=3.711 b=3.711 c=24.165 alpha=90.00 beta=90.00 gamma=120.00
Fractional coordinates of all 12 atoms:
Hf  0.000  0.000  0.000
Hf  0.333  0.667  0.667
Hf  0.667  0.333  0.333
Pd  0.000  0.000  0.500
Pd  0.333  0.667  0.167
Pd  0.667  0.333  0.833
Se  0.000  0.000  0.400
Se  0.000  0.000  0.600
Se  0.333  0.667  0.066
Se  0.333  0.667  0.267
Se  0.667  0.333  0.733
Se  0.667  0.333  0.934

Computed properties:
- Crystal system: trigonal
- V: 96.1 Å³/f.u.
- D(E_F): 1.766 states/eV per cell

---

The most stable of them is entry b.